Computed, not measured: ZrHgC2 at its PBEsol-relaxed geometry at the meta-GGA SCAN level of DFT.

```
8
Lattice="-2.510 2.510 5.170 2.510 -2.510 5.170 2.510 2.510 -5.170" Properties=species:S:1:pos:R:3 pbc="T T T"
Zr 0.000 0.000 0.000
Zr 0.000 2.510 2.585
Hg 2.510 0.000 2.585
Hg 0.000 0.000 5.170
C 3.765 1.194 -1.293
C 1.194 1.255 1.293
C -1.255 1.316 3.878
C 1.316 1.255 6.463
```

## Properties
D(E_F) = 4.67 states/eV per cell
SG = I-42d
DFT formation energy = 1.051 eV/atom
crystal system = tetragonal
magnetization = 0.000 μB/f.u.

=====

Computed, not measured: Ho2C at its PBEsol-relaxed geometry at the meta-GGA SCAN level of DFT.

```
3
Lattice="1.761 1.016 6.034 -1.761 1.016 6.034 0.000 -2.033 6.034" Properties=species:S:1:pos:R:3 pbc="T T T"
Ho 0.000 0.000 4.346
Ho 0.000 0.000 13.756
C 0.000 0.000 9.051
```

## Properties
D(E_F) = 1.55 states/eV per cell
SG = R-3m
DFT formation energy = -0.430 eV/atom
crystal system = trigonal
magnetization = 0.419 μB/f.u.

=====

Computed, not measured: Ho2C3 at its PBEsol-relaxed geometry at the meta-GGA SCAN level of DFT.

```
20
Lattice="-4.039 4.039 4.039 4.039 -4.039 4.039 4.039 4.039 -4.039" Properties=species:S:1:pos:R:3 pbc="T T T"
Ho 2.426 1.613 -1.613
Ho 4.445 -0.407 0.407
Ho 1.613 -1.613 2.426
Ho 1.613 1.613 1.613
Ho -1.613 2.426 1.613
Ho 0.407 4.445 -0.407
Ho -0.407 0.407 4.445
Ho 3.632 3.632 3.632
C 4.039 -2.019 2.358
C 4.039 -2.019 3.700
C 2.358 4.039 -2.019
C 3.700 4.039 -2.019
C 4.039 2.019 0.339
C 4.039 2.019 1.681
C 2.019 0.339 4.039
C 2.019 1.681 4.039
C 0.339 4.039 2.019
C 1.681 4.039 2.019
C -2.019 2.358 4.039
C -2.019 3.700 4.039
```

## Properties
D(E_F) = 5.08 states/eV per cell
SG = I-43d
DFT formation energy = -0.390 eV/atom
crystal system = cubic
magnetization = 0.000 μB/f.u.

=====

- The highest magnetization belongs to which entry?
  Ho2C